1.
Entry from Alexandria via LeMat-Bulk: a relaxed TaZn2Mo crystal (PBE).

Geometry as CIF:
```
data_TaZn2Mo
_chemical_formula_sum 'Ta1 Zn2 Mo1'
_cell_length_a 3.365
_cell_length_b 3.365
_cell_length_c 5.754
_cell_angle_alpha 90.00
_cell_angle_beta 90.00
_cell_angle_gamma 90.00
_space_group_name_H-M_alt 'P 1'
_space_group_IT_number 1
_space_group_name_Hall 'P 1'
loop_
_atom_site_label
_atom_site_fract_x
_atom_site_fract_y
_atom_site_fract_z
_atom_site_occupancy
Zn1 0.500 0.500 0.241 1
Ta1 0.500 0.500 0.728 1
Mo1 0.000 0.000 0.517 1
Zn2 0.000 0.000 0.013 1
```

Summary:
The formation energy comes out at 116 meV per atom.

***

2.
Entry from Alexandria via LeMat-Bulk: a relaxed Zr2AlZn3 crystal (PBE).

Geometry as CIF:
```
data_Zr2AlZn3
_chemical_formula_sum 'Zr2 Al1 Zn3'
_cell_length_a 3.231
_cell_length_b 4.345
_cell_length_c 7.523
_cell_angle_alpha 90.00
_cell_angle_beta 90.00
_cell_angle_gamma 90.00
_space_group_name_H-M_alt 'P 1'
_space_group_IT_number 1
_space_group_name_Hall 'P 1'
loop_
_atom_site_label
_atom_site_fract_x
_atom_site_fract_y
_atom_site_fract_z
_atom_site_occupancy
Zr1 0.000 0.000 0.501 1
Zr2 0.000 0.500 0.000 1
Al1 0.500 0.500 0.334 1
Zn1 0.500 0.000 0.833 1
Zn2 0.500 0.500 0.669 1
Zn3 0.500 0.000 0.164 1
```

Summary:
The formation energy comes out at -367 meV per atom.

***

3.
Entry from Alexandria via LeMat-Bulk: a relaxed AlZn2Hg crystal (PBE).

Geometry as CIF:
```
data_AlZn2Hg
_chemical_formula_sum 'Al1 Zn2 Hg1'
_cell_length_a 4.725
_cell_length_b 4.725
_cell_length_c 4.725
_cell_angle_alpha 60.00
_cell_angle_beta 60.00
_cell_angle_gamma 60.00
_space_group_name_H-M_alt 'P 1'
_space_group_IT_number 1
_space_group_name_Hall 'P 1'
loop_
_atom_site_label
_atom_site_fract_x
_atom_site_fract_y
_atom_site_fract_z
_atom_site_occupancy
Zn1 0.750 0.750 0.750 1
Zn2 0.250 0.250 0.250 1
Al1 0.000 0.000 0.000 1
Hg1 0.500 0.500 0.500 1
```

Summary:
The formation energy comes out at 215 meV per atom.